*A*
Below is crystalline RbZn2I at its relaxed geometry, with properties calculated at the PBE-GGA level.

abc: 9.8160 9.8160 6.9414
angles: 90.00 90.00 90.00
Last column: nearest neighbours and their distance in Å.
Space group I-42d (No. 122)
One atom of each set of equivalent atoms:
Rb 0.0000 0.0000 0.0000 x4  2 I 3.47, 4 Zn 3.72
Zn 0.2290 0.2500 0.6250 x8  2 I 3.44, 2 Zn 3.50, 2 Rb 3.72
I 0.0000 0.0000 0.5000 x4  4 Zn 3.44, 2 Rb 3.47

Values from the calculation:
- size of the total moment (μB/f.u.) = 0.00
- density of states at the Fermi level (states/eV/atom) = 0.000

*B*
Below is crystalline RbZn2I at its relaxed geometry, with properties calculated at the PBE-GGA level.

abc: 8.5649 8.5649 8.5649
angles: 90.00 90.00 90.00
Last column: nearest neighbours and their distance in Å.
Space group Fm-3m (No. 225)
One atom of each set of equivalent atoms:
Rb 0.0000 0.0000 0.0000 x4  8 Zn 3.71
Zn 0.2500 0.2500 0.2500 x8  4 Rb 3.71, 4 I 3.71
I 0.0000 0.0000 0.5000 x4  8 Zn 3.71

Values from the calculation:
- size of the total moment (μB/f.u.) = 0.00
- density of states at the Fermi level (states/eV/atom) = 0.000

Calculated relative energies: *A* 0; *B* 32, given in meV/atom

*A*
Below is crystalline RbZr3I at its relaxed geometry, with properties calculated at the PBE-GGA level.

abc: 5.1911 5.1911 5.1911
angles: 90.00 90.00 90.00
Last column: nearest neighbours and their distance in Å.
Space group Pm-3m (No. 221)
One atom of each set of equivalent atoms:
Rb 0.0000 0.0000 0.0000 x1  6 Zr 2.60
Zr 0.0000 0.0000 0.5000 x3  2 Rb 2.60
I 0.5000 0.5000 0.5000 x1  12 Zr 3.67

Values from the calculation:
- size of the total moment (μB/f.u.) = 0.00
- density of states at the Fermi level (states/eV/atom) = 2.337

*B*
Below is crystalline RbZr3I at its relaxed geometry, with properties calculated at the PBE-GGA level.

abc: 5.4586 5.4586 5.4586
angles: 90.00 90.00 90.00
Last column: nearest neighbours and their distance in Å.
Space group Pm-3m (No. 221)
One atom of each set of equivalent atoms:
Rb 0.0000 0.0000 0.0000 x1  12 Zr 3.86
Zr 0.0000 0.5000 0.5000 x3  2 I 2.73
I 0.5000 0.5000 0.5000 x1  6 Zr 2.73

Values from the calculation:
- size of the total moment (μB/f.u.) = 0.00
- density of states at the Fermi level (states/eV/atom) = 0.644

Calculated relative energies: *A* 1026; *B* 0, given in meV/atom

*A*
Below is crystalline RbZr2I at its relaxed geometry, with properties calculated at the PBE-GGA level.

abc: 4.8636 4.8636 22.9814
angles: 90.00 90.00 90.00
Last column: nearest neighbours and their distance in Å.
Space group I-42d (No. 122)
One atom of each set of equivalent atoms:
Rb 0.0000 0.0000 0.0000 x4  4 I 3.44, 4 Zr 3.65
Zr 0.1113 0.2500 0.6250 x8  2 Zr 2.66
I 0.0000 0.0000 0.5000 x4  4 Zr 3.17, 4 Rb 3.44

Values from the calculation:
- size of the total moment (μB/f.u.) = 0.00
- density of states at the Fermi level (states/eV/atom) = 1.041

*B*
Below is crystalline RbZr2I at its relaxed geometry, with properties calculated at the PBE-GGA level.

abc: 7.5293 7.5293 7.5293
angles: 90.00 90.00 90.00
Last column: nearest neighbours and their distance in Å.
Space group Fm-3m (No. 225)
One atom of each set of equivalent atoms:
Rb 0.0000 0.0000 0.0000 x4  8 Zr 3.26
Zr 0.2500 0.2500 0.2500 x8  4 Rb 3.26, 4 I 3.26
I 0.0000 0.0000 0.5000 x4  8 Zr 3.26

Values from the calculation:
- size of the total moment (μB/f.u.) = 0.81
- density of states at the Fermi level (states/eV/atom) = 2.042

Calculated relative energies: *A* 0; *B* 474, given in meV/atom

*A*
Below is crystalline RbZrI3 at its relaxed geometry, with properties calculated at the PBE-GGA level.

abc: 6.4558 6.4558 6.4558
angles: 90.00 90.00 90.00
Last column: nearest neighbours and their distance in Å.
Space group Pm-3m (No. 221)
One atom of each set of equivalent atoms:
Rb 0.0000 0.0000 0.0000 x1  6 I 3.23
Zr 0.5000 0.5000 0.5000 x1  12 I 4.56
I 0.0000 0.0000 0.5000 x3  2 Rb 3.23

Values from the calculation:
- size of the total moment (μB/f.u.) = 2.00
- density of states at the Fermi level (states/eV/atom) = 0.207

*B*
Below is crystalline RbZrI3 at its relaxed geometry, with properties calculated at the PBE-GGA level.

abc: 5.9512 5.9512 5.9512
angles: 90.00 90.00 90.00
Last column: nearest neighbours and their distance in Å.
Space group Pm-3m (No. 221)
One atom of each set of equivalent atoms:
Rb 0.0000 0.0000 0.0000 x1  12 I 4.21
Zr 0.5000 0.5000 0.5000 x1  6 I 2.98
I 0.0000 0.5000 0.5000 x3  2 Zr 2.98

Values from the calculation:
- size of the total moment (μB/f.u.) = 2.00
- density of states at the Fermi level (states/eV/atom) = 0.745

Calculated relative energies: *A* 1229; *B* 0, given in meV/atom

*A*
Below is crystalline Re2RhI at its relaxed geometry, with properties calculated at the PBE-GGA level.

abc: 6.3899 6.3899 6.3899
angles: 90.00 90.00 90.00
Last column: nearest neighbours and their distance in Å.
Space group Fm-3m (No. 225)
One atom of each set of equivalent atoms:
Re 0.2500 0.2500 0.2500 x8  4 Rh 2.77, 4 I 2.77
Rh 0.0000 0.0000 0.0000 x4  8 Re 2.77
I 0.0000 0.0000 0.5000 x4  8 Re 2.77

Values from the calculation:
- size of the total moment (μB/f.u.) = 0.00
- density of states at the Fermi level (states/eV/atom) = 0.636

*B*
Below is crystalline Re2RhI at its relaxed geometry, with properties calculated at the PBE-GGA level.

abc: 5.9223 5.9223 10.9388
angles: 90.00 90.00 90.00
Last column: nearest neighbours and their distance in Å.
Space group I-42d (No. 122)
One atom of each set of equivalent atoms:
Re 0.2178 0.2500 0.1250 x8  2 Rh 2.39, 2 I 2.62
Rh 0.0000 0.0000 0.0000 x4  4 Re 2.39
I 0.0000 0.0000 0.5000 x4  4 Re 2.62

Values from the calculation:
- size of the total moment (μB/f.u.) = 0.00
- density of states at the Fermi level (states/eV/atom) = 0.502

Calculated relative energies: *A* 0; *B* 537, given in meV/atom

*A*
Below is crystalline ReSbRhI2 at its relaxed geometry, with properties calculated at the PBE-GGA level.

abc: 5.4727 5.4727 5.0697
angles: 90.00 90.00 90.00
Last column: nearest neighbours and their distance in Å.
Space group P4/mmm (No. 123)
One atom of each set of equivalent atoms:
Re 0.0000 0.0000 0.0000 x1  2 Sb 2.53, 4 I 2.74
Sb 0.0000 0.0000 0.5000 x1  2 Re 2.53
Rh 0.5000 0.5000 0.5000 x1  8 I 3.73, 4 Sb 3.87
I 0.0000 0.5000 0.0000 x2  2 Re 2.74

Values from the calculation:
- size of the total moment (μB/f.u.) = 2.11
- density of states at the Fermi level (states/eV/atom) = 1.823

*B*
Below is crystalline ReSbRhI2 at its relaxed geometry, with properties calculated at the PBE-GGA level.

abc: 5.3978 5.3978 5.1744
angles: 90.00 90.00 90.00
Last column: nearest neighbours and their distance in Å.
Space group P4/mmm (No. 123)
One atom of each set of equivalent atoms:
Re 0.0000 0.0000 0.0000 x1  8 I 3.74, 4 Sb 3.82
Sb 0.5000 0.5000 0.0000 x1  2 Rh 2.59
Rh 0.5000 0.5000 0.5000 x1  2 Sb 2.59, 4 I 2.70
I 0.0000 0.5000 0.5000 x2  2 Rh 2.70

Values from the calculation:
- size of the total moment (μB/f.u.) = 4.66
- density of states at the Fermi level (states/eV/atom) = 0.756

Calculated relative energies: *A* 29; *B* 0, given in meV/atom

*A*
Below is crystalline ReTe2RhI at its relaxed geometry, with properties calculated at the PBE-GGA level.

abc: 5.2361 5.2361 5.2863
angles: 90.00 90.00 90.00
Last column: nearest neighbours and their distance in Å.
Space group P4/mmm (No. 123)
One atom of each set of equivalent atoms:
Re 0.0000 0.0000 0.0000 x1  4 I 3.70, 8 Te 3.72
Te 0.0000 0.5000 0.5000 x2  2 Rh 2.62
Rh 0.5000 0.5000 0.5000 x1  4 Te 2.62, 2 I 2.64
I 0.5000 0.5000 0.0000 x1  2 Rh 2.64

Values from the calculation:
- size of the total moment (μB/f.u.) = 4.20
- density of states at the Fermi level (states/eV/atom) = 0.921

*B*
Below is crystalline ReTe2RhI at its relaxed geometry, with properties calculated at the PBE-GGA level.

abc: 5.0926 5.0926 5.7546
angles: 90.00 90.00 90.00
Last column: nearest neighbours and their distance in Å.
Space group P4/mmm (No. 123)
One atom of each set of equivalent atoms:
Re 0.0000 0.0000 0.0000 x1  4 Te 2.55
Te 0.0000 0.5000 0.0000 x2  2 Re 2.55
Rh 0.5000 0.5000 0.5000 x1  4 I 3.60, 8 Te 3.84
I 0.0000 0.0000 0.5000 x1  2 Re 2.88

Values from the calculation:
- size of the total moment (μB/f.u.) = 1.56
- density of states at the Fermi level (states/eV/atom) = 1.339

Calculated relative energies: *A* 85; *B* 0, given in meV/atom